1.
Material: Er3Tl2Cu5S8
Method: DFT, PBE-GGA
State: optimized geometry

Values from the calculation:
* space group: Cm, No. 8

```
Er3Tl2Cu5S8
1.0
6.910 -1.951 0.000
6.910 1.951 0.000
-5.221 0.000 13.405
Er Tl Cu S
3 2 5 8
Direct
0.000 0.000 0.000
0.137 0.137 0.386
0.840 0.840 0.620
0.174 0.174 0.799
0.803 0.803 0.213
0.388 0.388 0.456
0.460 0.460 0.806
0.521 0.521 0.195
0.590 0.590 0.550
0.783 0.783 0.004
0.117 0.117 0.196
0.189 0.189 0.586
0.378 0.378 0.044
0.480 0.480 0.642
0.497 0.497 0.362
0.608 0.608 0.954
0.788 0.788 0.419
0.865 0.865 0.811
```

---

2.
Material: FeBi2S4Cl
Method: DFT, PBE-GGA
State: optimized geometry

Values from the calculation:
* space group: C2/m, No. 12

```
FeBi2S4Cl
1.0
5.960 -1.920 0.000
5.960 1.920 0.000
-3.842 0.000 7.805
Fe Bi S Cl
1 2 4 1
Direct
0.000 0.000 0.000
0.203 0.203 0.742
0.797 0.797 0.258
0.149 0.149 0.290
0.389 0.389 0.059
0.611 0.611 0.941
0.851 0.851 0.710
0.500 0.500 0.500
```

---

3.
Material: SmNiB
Method: DFT, PBE-GGA
State: optimized geometry

Values from the calculation:
* ΔE to the lowest computed polymorph: 0.2172 eV per atom
* space group: F-43m, No. 216

```
SmNiB
1.0
0.000 2.959 2.959
2.959 0.000 2.959
2.959 2.959 0.000
Sm Ni B
1 1 1
Direct
0.000 0.000 0.000
0.750 0.750 0.750
0.500 0.500 0.500
```

---

| no. | E_tot (eV/atom) |
| --- | --- |
| 1 | -4.93 |
| 2 | -4.70 |
| 3 | -5.25 |